{
  "formula": "RbAs2P2",
  "functional": "PBE",
  "state": "optimized geometry",
  "cell": [[6.6268, 0.0001, 0.0052], [3.3150, 6.7265, 0.0064], [3.3124, 0.0063, 6.3257]],
  "species": ["As", "P", "As", "As", "P", "Rb", "Rb", "As", "P", "P"],
  "fractional_positions": [[0.5110, 0.7505, 0.9739], [0.5082, 0.4870, 0.7501], [0.2358, 0.7502, 0.5263], [0.7642, 0.2498, 0.4737], [0.2553, 0.9875, 0.2506], [0.1259, 0.2498, 0.7500], [0.8741, 0.7502, 0.2500], [0.4890, 0.2495, 0.0261], [0.7447, 0.0125, 0.7494], [0.4918, 0.5130, 0.2499]],
  "polymorph_energy_ev_per_atom": 0.089,
  "total_magnetization_mub_per_cell": 0.0,
  "total_energy_ev_per_atom": -4.225
}